1.
## ScGaBr2 (GGA-PBE)

Data for a geometry-optimized ScGaBr2 structure.

Output
- E_tot (Ha/atom) = -0.1359
- distance to the lowest polymorph of the same formula (meV per atom) = 355.7
- D(E_F) (states/eV per cell) = 6.130
- formation energy without anion corrections (eV per atom) = -0.52

a b c (Å): 3.8325 3.8325 28.4523
angles (deg): 90.00 90.00 120.00
Space group R-3m (No. 166, hexagonal axes)
Symmetry-distinct sites (fractional):
Sc 0.0000 0.0000 0.0000 (multiplicity 3)
Ga 0.0000 0.0000 0.5000 (multiplicity 3)
Br 0.0000 0.0000 0.0907 (multiplicity 6)

---

2.
## Pa2NiIr (GGA-PBE)

Data for a geometry-optimized Pa2NiIr structure.

Output
- E_tot (Ha/atom) = -0.3238
- D(E_F) (states/eV per cell) = 5.846
- ΔE_f (eV per atom) = -0.402

a b c (Å): 4.3464 4.3464 4.0570
angles (deg): 90.00 90.00 90.00
Space group P4/mmm (No. 123)
Symmetry-distinct sites (fractional):
Pa 0.0000 0.5000 0.0000 (multiplicity 2)
Ni 0.0000 0.0000 0.5000 (multiplicity 1)
Ir 0.5000 0.5000 0.5000 (multiplicity 1)

---

3.
## BaH2O (GGA-PBE)

Data for a geometry-optimized BaH2O structure.

Output
- E_tot (Ha/atom) = -0.1728
- distance to the lowest polymorph of the same formula (meV per atom) = 16.6
- D(E_F) (states/eV per cell) = 0.000

a b c (Å): 7.6595 4.5157 8.4556
angles (deg): 90.00 114.49 90.00
Space group Cc (No. 9)
Symmetry-distinct sites (fractional):
Ba 0.0000 0.1452 0.0000 (multiplicity 4)
H 0.0288 0.4560 0.2779 (multiplicity 4)
H 0.3972 0.1818 0.1465 (multiplicity 4)
O 0.1148 0.3070 0.3623 (multiplicity 4)